Compound: Zn2FeO
Source: Alexandria via LeMat-Bulk
Functional: PBE+U
Structure: relaxed

Summary:
crystal system: tetragonal
final energy: -3.527 eV per atom
distance to the lowest polymorph of the same formula: 0 meV/atom

Cell: 7.195 7.195 4.365 Å, 90.00 90.00 90.00°
Space group I-42d (No. 122)
Asymmetric unit:
Zn  0.175  0.250  0.125
Fe  0.000  0.000  0.500
O  0.000  0.000  0.000